1.
CuAg2Mo, optimized geometry, DFT GGA-PBEsol; SG = R-3m, No. 166; E_form = 0.333 eV per atom; raw total energy = -21.39 eV for the cell shown
1.0
1.3719 0.7921 9.1911
-1.3719 0.7921 9.1911
0.0000 -1.5841 9.1911
Cu Ag Mo
1 2 1
direct
0.0000 0.0000 0.0000
0.2544 0.2544 0.2544
0.7456 0.7456 0.7456
0.5000 0.5000 0.5000

2.
CuAg2Mo, optimized geometry, DFT GGA-PBEsol; SG = Immm, No. 71; E_form = 0.490 eV per atom; raw total energy = -20.76 eV for the cell shown
1.0
-1.3309 2.3605 4.8010
1.3309 -2.3605 4.8010
1.3309 2.3605 -4.8010
Cu Ag Mo
1 2 1
direct
0.0000 0.0000 0.0000
0.2332 0.7332 0.5000
0.7668 0.2668 0.5000
0.5000 0.5000 0.0000

3.
CuAg2Mo, optimized geometry, DFT GGA-PBEsol; SG = I-4m2, No. 119; E_form = 0.605 eV per atom; raw total energy = -20.31 eV for the cell shown
1.0
-2.2013 2.2013 3.0993
2.2013 -2.2013 3.0993
2.2013 2.2013 -3.0993
Cu Ag Mo
1 2 1
direct
0.0000 0.0000 0.0000
0.5000 0.5000 0.0000
0.7500 0.2500 0.5000
0.2500 0.7500 0.5000

4.
CuAgMo, optimized geometry, DFT GGA-PBEsol; SG = F-43m, No. 216; E_form = 0.920 eV per atom; raw total energy = -16.65 eV for the cell shown
1.0
0.0000 2.8855 2.8855
2.8855 0.0000 2.8855
2.8855 2.8855 0.0000
Cu Ag Mo
1 1 1
direct
0.0000 0.0000 0.0000
0.2500 0.2500 0.2500
0.7500 0.7500 0.7500

5.
CuAg2Mo, optimized geometry, DFT GGA-PBEsol; SG = Pm, No. 6; E_form = 0.390 eV per atom; raw total energy = -21.16 eV for the cell shown
1.0
2.6284 0.0000 0.0000
0.0000 4.1384 0.0000
-1.3219 0.0000 5.5607
Cu Ag Mo
1 2 1
direct
0.0000 0.0000 0.0000
0.2327 0.0000 0.4695
0.8559 0.5000 0.7178
0.5934 0.5000 0.1878

6.
NaCuAgMo2, optimized geometry, DFT GGA-PBEsol; SG = P4/mmm, No. 123; E_form = 2.299 eV per atom; raw total energy = -21.09 eV for the cell shown
1.0
4.9849 0.0000 0.0000
0.0000 4.9849 0.0000
0.0000 0.0000 4.9202
Na Cu Ag Mo
1 1 1 2
direct
0.0000 0.0000 0.0000
0.5000 0.5000 0.0000
0.0000 0.0000 0.5000
0.0000 0.5000 0.5000
0.5000 0.0000 0.5000

7.
CuTcAg2Mo, optimized geometry, DFT GGA-PBEsol; SG = P4/mmm, No. 123; E_form = 2.260 eV per atom; raw total energy = -22.69 eV for the cell shown
1.0
4.8750 0.0000 0.0000
0.0000 4.8750 0.0000
0.0000 0.0000 4.4953
Cu Tc Ag Mo
1 1 2 1
direct
0.0000 0.0000 0.0000
0.5000 0.5000 0.0000
0.0000 0.5000 0.5000
0.5000 0.0000 0.5000
0.0000 0.0000 0.5000

8.
CuAgSe2N, optimized geometry, DFT GGA-PBEsol; SG = P4/mmm, No. 123; raw total energy = -17.14 eV for the cell shown
1.0
5.0714 0.0000 0.0000
0.0000 5.0714 0.0000
0.0000 0.0000 3.8227
Cu Ag Se N
1 1 2 1
direct
0.0000 0.0000 0.0000
0.5000 0.5000 0.5000
0.0000 0.5000 0.5000
0.5000 0.0000 0.5000
0.5000 0.5000 0.0000

9.
TaCu2AgN, optimized geometry, DFT GGA-PBEsol; SG = P4/mmm, No. 123; raw total energy = -24.41 eV for the cell shown
1.0
4.5703 0.0000 0.0000
0.0000 4.5703 0.0000
0.0000 0.0000 3.7377
Ta Cu Ag N
1 2 1 1
direct
0.0000 0.0000 0.0000
0.0000 0.5000 0.5000
0.5000 0.0000 0.5000
0.5000 0.5000 0.5000
0.5000 0.5000 0.0000

10.
NaCuAg3, optimized geometry, DFT GGA-PBEsol; SG = Pm-3m, No. 221; E_form = 0.411 eV per atom; raw total energy = -13.61 eV for the cell shown
1.0
4.7900 0.0000 0.0000
0.0000 4.7900 0.0000
0.0000 0.0000 4.7900
Na Cu Ag
1 1 3
direct
0.0000 0.0000 0.0000
0.5000 0.5000 0.5000
0.0000 0.5000 0.5000
0.5000 0.0000 0.5000
0.5000 0.5000 0.0000

11.
Na2CuAg, optimized geometry, DFT GGA-PBEsol; SG = Fm-3m, No. 225; E_form = 0.329 eV per atom; raw total energy = -9.13 eV for the cell shown
1.0
0.0000 3.4173 3.4173
3.4173 0.0000 3.4173
3.4173 3.4173 0.0000
Na Cu Ag
2 1 1
direct
0.2500 0.2500 0.2500
0.7500 0.7500 0.7500
0.0000 0.0000 0.0000
0.5000 0.5000 0.5000

12.
NbCuAg3, optimized geometry, DFT GGA-PBEsol; SG = Pm-3m, No. 221; E_form = 1.865 eV per atom; raw total energy = -15.76 eV for the cell shown
1.0
5.0224 0.0000 0.0000
0.0000 5.0224 0.0000
0.0000 0.0000 5.0224
Nb Cu Ag
1 1 3
direct
0.0000 0.0000 0.0000
0.5000 0.5000 0.5000
0.0000 0.0000 0.5000
0.0000 0.5000 0.0000
0.5000 0.0000 0.0000

no.,calculated volume (Å³ per atom)
1,14.981
2,15.083
3,15.019
4,16.016
5,15.121
6,24.453
7,21.367
8,19.663
9,15.614
10,21.981
11,19.953
12,25.338